Entry A
CsFeCo after structural relaxation. Source: Alexandria via LeMat-Bulk, functional PBE.

POSCAR file:
```
CsFeCo
1.0
3.985 0.000 0.000
1.992 3.455 0.000
0.036 1.850 12.026
Cs Fe Co
2 2 2
Direct
0.000 0.000 0.000
0.493 0.003 0.606
0.081 0.833 0.306
0.413 0.171 0.299
0.723 0.552 0.212
0.771 0.452 0.394
```

Output
magnetization: 1.05 μB per formula unit
D(E_F): 5.6 states/eV/f.u.
ρ: 4968 kg/m³
space-group type: P1 (1)

=====

Entry B
CsFeCo after structural relaxation. Source: Alexandria via LeMat-Bulk, functional PBE.

POSCAR file:
```
CsFeCo
1.0
4.133 0.000 0.000
0.000 4.661 0.000
0.061 0.266 10.908
Cs Fe Co
2 2 2
Direct
0.246 0.284 0.276
0.754 0.716 0.724
0.251 0.121 0.960
0.749 0.879 0.040
0.250 0.634 0.003
0.750 0.366 0.997
```

Output
magnetization: 4.15 μB per formula unit
D(E_F): 2.5 states/eV/f.u.
ρ: 3915 kg/m³
space-group type: P-1 (2)

=====

Bottom line: entry B, by a margin of 15.0 kJ/mol of atoms.

=====

Entry A
CsFe3Co after structural relaxation. Source: Alexandria via LeMat-Bulk, functional PBE.

POSCAR file:
```
CsFe3Co
1.0
4.686 0.000 0.000
0.000 4.686 0.000
0.000 0.000 4.686
Cs Fe Co
1 3 1
Direct
0.000 0.000 0.000
0.000 0.500 0.500
0.500 0.000 0.500
0.500 0.500 0.000
0.500 0.500 0.500
```

Output
magnetization: 10.50 μB per formula unit
D(E_F): 5.1 states/eV/f.u.
ρ: 5800 kg/m³
space-group type: Pm-3m (221)

=====

Entry B
CsFe3Co after structural relaxation. Source: Alexandria via LeMat-Bulk, functional PBE.

POSCAR file:
```
CsFe3Co
1.0
4.685 0.000 0.000
0.000 4.685 0.000
0.000 0.000 4.685
Cs Fe Co
1 3 1
Direct
0.000 0.000 0.000
0.000 0.000 0.500
0.000 0.500 0.000
0.500 0.000 0.000
0.500 0.500 0.500
```

Output
magnetization: 6.38 μB per formula unit
D(E_F): 12.8 states/eV/f.u.
ρ: 5804 kg/m³
space-group type: Pm-3m (221)

=====

Bottom line: entry A, by a margin of 173.6 kJ/mol of atoms.

=====

Entry A
CsGaCo3 after structural relaxation. Source: Alexandria via LeMat-Bulk, functional PBE.

POSCAR file:
```
CsGaCo3
1.0
4.775 0.000 0.000
0.000 4.775 0.000
0.000 0.000 4.775
Cs Ga Co
1 1 3
Direct
0.000 0.000 0.000
0.500 0.500 0.500
0.000 0.500 0.500
0.500 0.000 0.500
0.500 0.500 0.000
```

Output
magnetization: 5.10 μB per formula unit
D(E_F): 5.2 states/eV/f.u.
ρ: 5787 kg/m³
space-group type: Pm-3m (221)

=====

Entry B
CsGaCo3 after structural relaxation. Source: Alexandria via LeMat-Bulk, functional PBE.

POSCAR file:
```
CsGaCo3
1.0
4.780 0.000 0.000
0.000 4.780 0.000
0.000 0.000 4.780
Cs Ga Co
1 1 3
Direct
0.000 0.000 0.000
0.500 0.500 0.500
0.000 0.000 0.500
0.000 0.500 0.000
0.500 0.000 0.000
```

Output
magnetization: 3.05 μB per formula unit
D(E_F): 6.4 states/eV/f.u.
ρ: 5770 kg/m³
space-group type: Pm-3m (221)

=====

Bottom line: entry A, by a margin of 114.1 kJ/mol of atoms.

=====

Entry A
CsTlGa2Co after structural relaxation. Source: Alexandria via LeMat-Bulk, functional PBE.

POSCAR file:
```
CsTlGa2Co
1.0
4.858 0.000 0.000
0.000 4.858 0.000
0.000 0.000 5.249
Cs Tl Ga Co
1 1 2 1
Direct
0.000 0.000 0.000
0.500 0.500 0.000
0.000 0.500 0.500
0.500 0.000 0.500
0.500 0.500 0.500
```

Output
magnetization: 0.00 μB per formula unit
D(E_F): 3.6 states/eV/f.u.
ρ: 7180 kg/m³
space-group type: P4/mmm (123)

=====

Entry B
CsTlGa2Co after structural relaxation. Source: Alexandria via LeMat-Bulk, functional PBE.

POSCAR file:
```
CsTlGa2Co
1.0
5.641 0.000 0.000
0.000 5.641 0.000
0.000 0.000 5.219
Cs Tl Ga Co
1 1 2 1
Direct
0.000 0.000 0.000
0.500 0.500 0.500
0.000 0.500 0.500
0.500 0.000 0.500
0.500 0.500 0.000
```

Output
magnetization: 1.62 μB per formula unit
D(E_F): 5.0 states/eV/f.u.
ρ: 5357 kg/m³
space-group type: P4/mmm (123)

=====

Bottom line: entry A, by a margin of 65.8 kJ/mol of atoms.